# 1
Here is an optimized crystal structure of TmScSiPd from the Alexandria database. Energies are from PBE.

Properties
Energy relative to the elements, uncorrected (eV/atom): -0.749
Theoretical density (g/cm3): 7.43

Geometry as CIF:
```
data_TmScSiPd
_space_group_name_H-M_alt 'F -4 3 m'
_space_group_IT_number 216
_space_group_name_Hall 'F -4 2 3'
_cell_length_a 6.7793
_cell_length_b 6.7793
_cell_length_c 6.7793
_cell_angle_alpha 90.00
_cell_angle_beta 90.00
_cell_angle_gamma 90.00
loop_
_atom_site_label
_atom_site_type_symbol
_atom_site_fract_x
_atom_site_fract_y
_atom_site_fract_z
Tm1 Tm 0.0000 0.0000 0.0000
Sc1 Sc 0.0000 0.0000 0.5000
Si1 Si 0.2500 0.2500 0.2500
Pd1 Pd 0.2500 0.2500 0.7500
```

# 2
Here is an optimized crystal structure of ScSiPd2W from the Alexandria database. Energies are from PBE.

Properties
Energy relative to the elements, uncorrected (eV/atom): 1.128
Theoretical density (g/cm3): 6.73

Geometry as CIF:
```
data_ScSiPd2W
_space_group_name_H-M_alt 'P 4/m m m'
_space_group_IT_number 123
_space_group_name_Hall '-P 4 2'
_cell_length_a 4.7966
_cell_length_b 4.7966
_cell_length_c 5.0372
_cell_angle_alpha 90.00
_cell_angle_beta 90.00
_cell_angle_gamma 90.00
loop_
_atom_site_label
_atom_site_type_symbol
_atom_site_fract_x
_atom_site_fract_y
_atom_site_fract_z
Sc1 Sc 0.0000 0.0000 0.0000
Si1 Si 0.5000 0.5000 0.0000
Pd1 Pd 0.0000 0.5000 0.5000
W1 W 0.0000 0.0000 0.5000
```

# 3
Here is an optimized crystal structure of YScSiPd from the Alexandria database. Energies are from PBE.

Properties
Energy relative to the elements, uncorrected (eV/atom): -0.730
Theoretical density (g/cm3): 5.57

Geometry as CIF:
```
data_YScSiPd
_space_group_name_H-M_alt 'F -4 3 m'
_space_group_IT_number 216
_space_group_name_Hall 'F -4 2 3'
_cell_length_a 6.8410
_cell_length_b 6.8410
_cell_length_c 6.8410
_cell_angle_alpha 90.00
_cell_angle_beta 90.00
_cell_angle_gamma 90.00
loop_
_atom_site_label
_atom_site_type_symbol
_atom_site_fract_x
_atom_site_fract_y
_atom_site_fract_z
Y1 Y 0.0000 0.0000 0.0000
Sc1 Sc 0.0000 0.0000 0.5000
Si1 Si 0.2500 0.2500 0.7500
Pd1 Pd 0.2500 0.2500 0.2500
```

# 4
Here is an optimized crystal structure of Sc2ZnSi2Pd5 from the Alexandria database. Energies are from PBE.

Properties
Energy relative to the elements, uncorrected (eV/atom): -0.711
Theoretical density (g/cm3): 7.60

Geometry as CIF:
```
data_Sc2ZnSi2Pd5
_space_group_name_H-M_alt 'P 4/m b m'
_space_group_IT_number 127
_space_group_name_Hall '-P 4 2ab'
_cell_length_a 9.6243
_cell_length_b 9.6243
_cell_length_c 3.5086
_cell_angle_alpha 90.00
_cell_angle_beta 90.00
_cell_angle_gamma 90.00
loop_
_atom_site_label
_atom_site_type_symbol
_atom_site_fract_x
_atom_site_fract_y
_atom_site_fract_z
Sc1 Sc 0.1721 0.3279 0.0000
Zn1 Zn 0.0000 0.0000 0.0000
Si1 Si 0.1296 0.6296 0.0000
Pd1 Pd 0.0000 0.5000 0.5000
Pd2 Pd 0.0593 0.7922 0.5000
```

# 5
Here is an optimized crystal structure of SmScPd4 from the Alexandria database. Energies are from PBE.

Properties
Excess energy over the best structure of this formula in the dataset (eV/atom): 0.000
Formation energy (eV/atom): -0.74
Theoretical density (g/cm3): 9.22

Geometry as CIF:
```
data_SmScPd4
_space_group_name_H-M_alt 'C 1 2/m 1'
_space_group_IT_number 12
_cell_length_a 9.6240
_cell_length_b 3.6258
_cell_length_c 6.8295
_cell_angle_alpha 90.00
_cell_angle_beta 110.11
_cell_angle_gamma 90.00
loop_
_space_group_symop_operation_xyz
'x,y,z'
'-x,-y,-z'
'-x,y,-z'
'x,-y,z'
'x+1/2,y+1/2,z'
'-x+1/2,-y+1/2,-z'
'-x+1/2,y+1/2,-z'
'x+1/2,-y+1/2,z'
loop_
_atom_site_label
_atom_site_type_symbol
_atom_site_fract_x
_atom_site_fract_y
_atom_site_fract_z
Sm1 Sm 0.0000 0.0000 0.0000
Sc1 Sc 0.0000 0.0000 0.5000
Pd1 Pd 0.1604 0.5000 0.3527
Pd2 Pd 0.1676 0.5000 0.8078
```

# 6
Here is an optimized crystal structure of SmSc2Pd from the Alexandria database. Energies are from PBE.

Properties
Excess energy over the best structure of this formula in the dataset (eV/atom): 0.265
Formation energy (eV/atom): -0.16
Theoretical density (g/cm3): 5.84

Geometry as CIF:
```
data_SmSc2Pd
_space_group_name_H-M_alt 'R -3 m'
_space_group_IT_number 166
_space_group_name_Hall '-R 3 2"'
_cell_length_a 4.6010
_cell_length_b 4.6010
_cell_length_c 16.1204
_cell_angle_alpha 90.00
_cell_angle_beta 90.00
_cell_angle_gamma 120.00
loop_
_atom_site_label
_atom_site_type_symbol
_atom_site_fract_x
_atom_site_fract_y
_atom_site_fract_z
Sm1 Sm 0.0000 0.0000 0.0000
Sc1 Sc 0.0000 0.0000 0.2162
Pd1 Pd 0.0000 0.0000 0.5000
```

# 7
Here is an optimized crystal structure of SmScPd4 from the Alexandria database. Energies are from PBE.

Properties
Excess energy over the best structure of this formula in the dataset (eV/atom): 0.020
Formation energy (eV/atom): -0.72
Theoretical density (g/cm3): 9.23

Geometry as CIF:
```
data_SmScPd4
_space_group_name_H-M_alt 'F -4 3 m'
_space_group_IT_number 216
_space_group_name_Hall 'F -4 2 3'
_cell_length_a 7.6464
_cell_length_b 7.6464
_cell_length_c 7.6464
_cell_angle_alpha 90.00
_cell_angle_beta 90.00
_cell_angle_gamma 90.00
loop_
_atom_site_label
_atom_site_type_symbol
_atom_site_fract_x
_atom_site_fract_y
_atom_site_fract_z
Sm1 Sm 0.0000 0.0000 0.0000
Sc1 Sc 0.2500 0.2500 0.7500
Pd1 Pd 0.1246 0.1246 0.3754
```

# 8
Here is an optimized crystal structure of Sm2ScPd2 from the Alexandria database. Energies are from PBE.

Properties
Formation energy (eV/atom): -0.68
Theoretical density (g/cm3): 7.78

Geometry as CIF:
```
data_Sm2ScPd2
_space_group_name_H-M_alt 'P 4/m b m'
_space_group_IT_number 127
_space_group_name_Hall '-P 4 2ab'
_cell_length_a 7.6683
_cell_length_b 7.6683
_cell_length_c 4.0554
_cell_angle_alpha 90.00
_cell_angle_beta 90.00
_cell_angle_gamma 90.00
loop_
_atom_site_label
_atom_site_type_symbol
_atom_site_fract_x
_atom_site_fract_y
_atom_site_fract_z
Sm1 Sm 0.1720 0.3280 0.0000
Sc1 Sc 0.0000 0.0000 0.5000
Pd1 Pd 0.1318 0.6318 0.5000
```

# 9
Here is an optimized crystal structure of SmSc3Pd4 from the Alexandria database. Energies are from PBE.

Properties
Formation energy (eV/atom): -0.86
Theoretical density (g/cm3): 7.50

Geometry as CIF:
```
data_SmSc3Pd4
_space_group_name_H-M_alt 'R -3 m'
_space_group_IT_number 166
_space_group_name_Hall '-R 3 2"'
_cell_length_a 4.6758
_cell_length_b 4.6758
_cell_length_c 24.9270
_cell_angle_alpha 90.00
_cell_angle_beta 90.00
_cell_angle_gamma 120.00
loop_
_atom_site_label
_atom_site_type_symbol
_atom_site_fract_x
_atom_site_fract_y
_atom_site_fract_z
Sm1 Sm 0.0000 0.0000 0.0000
Sc1 Sc 0.0000 0.0000 0.2448
Sc2 Sc 0.0000 0.0000 0.5000
Pd1 Pd 0.0000 0.0000 0.1294
Pd2 Pd 0.0000 0.0000 0.3918
```

# 10
Here is an optimized crystal structure of Sm2ScPd from the Alexandria database. Energies are from PBE.

Properties
Excess energy over the best structure of this formula in the dataset (eV/atom): 0.172
Formation energy (eV/atom): -0.20
Theoretical density (g/cm3): 6.86

Geometry as CIF:
```
data_Sm2ScPd
_space_group_name_H-M_alt 'R 3 m'
_space_group_IT_number 160
_space_group_name_Hall 'R 3 -2"'
_cell_length_a 3.6205
_cell_length_b 3.6205
_cell_length_c 28.9270
_cell_angle_alpha 90.00
_cell_angle_beta 90.00
_cell_angle_gamma 120.00
loop_
_atom_site_label
_atom_site_type_symbol
_atom_site_fract_x
_atom_site_fract_y
_atom_site_fract_z
Sm1 Sm 0.0000 0.0000 0.0000
Sm2 Sm 0.0000 0.0000 0.1901
Sc1 Sc 0.0000 0.0000 0.7619
Pd1 Pd 0.0000 0.0000 0.5945
```

# 11
Here is an optimized crystal structure of SmSc5Pd6 from the Alexandria database. Energies are from PBE.

Properties
Formation energy (eV/atom): -0.86
Theoretical density (g/cm3): 7.39

Geometry as CIF:
```
data_SmSc5Pd6
_space_group_name_H-M_alt 'P 1 2/m 1'
_space_group_IT_number 10
_cell_length_a 4.7910
_cell_length_b 6.5870
_cell_length_c 7.5984
_cell_angle_alpha 90.00
_cell_angle_beta 108.33
_cell_angle_gamma 90.00
loop_
_space_group_symop_operation_xyz
'x,y,z'
'-x,-y,-z'
'-x,y,-z'
'x,-y,z'
loop_
_atom_site_label
_atom_site_type_symbol
_atom_site_fract_x
_atom_site_fract_y
_atom_site_fract_z
Sm1 Sm 0.0000 0.0000 0.0000
Sc1 Sc 0.0000 0.5000 0.0000
Sc2 Sc 0.3310 0.0000 0.6609
Sc3 Sc 0.3345 0.5000 0.6683
Pd1 Pd 0.1734 0.2563 0.3491
Pd2 Pd 0.5000 0.2672 0.0000
```

# 12
Here is an optimized crystal structure of SmSc2Pd from the Alexandria database. Energies are from PBE.

Properties
Excess energy over the best structure of this formula in the dataset (eV/atom): 0.183
Formation energy (eV/atom): -0.25
Theoretical density (g/cm3): 5.78

Geometry as CIF:
```
data_SmSc2Pd
_space_group_name_H-M_alt 'R 3 m'
_space_group_IT_number 160
_space_group_name_Hall 'R 3 -2"'
_cell_length_a 3.5144
_cell_length_b 3.5144
_cell_length_c 27.9363
_cell_angle_alpha 90.00
_cell_angle_beta 90.00
_cell_angle_gamma 120.00
loop_
_atom_site_label
_atom_site_type_symbol
_atom_site_fract_x
_atom_site_fract_y
_atom_site_fract_z
Sm1 Sm 0.0000 0.0000 0.0000
Sc1 Sc 0.0000 0.0000 0.5618
Sc2 Sc 0.0000 0.0000 0.7658
Pd1 Pd 0.0000 0.0000 0.1638
```